! PBE Tb3Nd4Y4, relaxed; values from VASP
! distance to the lowest polymorph of the same formula	73.8	meV per atom
! total moment	0.00	μB/cell
! total DFT energy (no corrections)	-57.44	eV per cell
&SYSTEM
  ibrav = 0, nat = 11, ntyp = 3
/
ATOMIC_SPECIES
Nd 144.24 Nd.upf
Y 88.91 Y.upf
Tb 158.93 Tb.upf
ATOMIC_POSITIONS crystal
Nd 0.357 0.179 0.714
Nd 0.357 0.535 0.714
Nd 0.643 0.465 0.286
Nd 0.643 0.821 0.286
Y 0.741 0.241 0.482
Y 0.500 0.182 0.000
Y 0.259 0.759 0.518
Y 0.500 0.818 0.000
Tb 0.108 0.108 0.216
Tb 0.000 0.500 0.000
Tb 0.892 0.892 0.784
CELL_PARAMETERS angstrom
0.111 2.674 -2.424
-5.194 -5.133 -5.902
-6.730 5.580 8.538

***

! PBE Tb3Nd4Y4, relaxed; values from VASP
! distance to the lowest polymorph of the same formula	0.0	meV per atom
! total moment	0.00	μB/cell
! total DFT energy (no corrections)	-58.25	eV per cell
&SYSTEM
  ibrav = 0, nat = 11, ntyp = 3
/
ATOMIC_SPECIES
Y 88.91 Y.upf
Tb 158.93 Tb.upf
Nd 144.24 Nd.upf
ATOMIC_POSITIONS crystal
Y 0.733 0.733 0.534
Y 0.591 0.092 0.818
Y 0.409 0.908 0.182
Y 0.267 0.267 0.466
Tb 0.863 0.363 0.274
Tb 0.137 0.637 0.726
Tb 0.000 0.000 0.000
Nd 0.680 0.180 0.640
Nd 0.454 0.453 0.092
Nd 0.546 0.547 0.908
Nd 0.320 0.820 0.360
CELL_PARAMETERS angstrom
3.545 0.000 0.002
0.000 5.684 0.003
1.763 2.824 18.104

***

! PBE Tb7Nd2Y4, relaxed; values from VASP
! total moment	0.00	μB/cell
! total DFT energy (no corrections)	-65.57	eV per cell
&SYSTEM
  ibrav = 0, nat = 13, ntyp = 3
/
ATOMIC_SPECIES
Tb 158.93 Tb.upf
Y 88.91 Y.upf
Nd 144.24 Nd.upf
ATOMIC_POSITIONS crystal
Tb 0.640 0.640 0.218
Tb 0.360 0.000 0.218
Tb 0.640 0.000 0.782
Tb 0.000 0.000 0.000
Tb 0.360 0.360 0.782
Tb 0.000 0.360 0.218
Tb 0.000 0.640 0.782
Y 0.000 0.000 0.606
Y 0.667 0.333 0.500
Y 0.333 0.667 0.500
Y 0.000 0.000 0.394
Nd 0.667 0.333 0.000
Nd 0.333 0.667 0.000
CELL_PARAMETERS angstrom
-2.798 -3.769 -3.930
4.486 -2.106 3.594
-8.944 -3.104 9.344

***

! PBE Tb5Nd2Y, relaxed; values from VASP
! distance to the lowest polymorph of the same formula	0.0	meV per atom
! total moment	0.00	μB/cell
! total DFT energy (no corrections)	-78.04	eV per cell
&SYSTEM
  ibrav = 0, nat = 16, ntyp = 3
/
ATOMIC_SPECIES
Tb 158.93 Tb.upf
Nd 144.24 Nd.upf
Y 88.91 Y.upf
ATOMIC_POSITIONS crystal
Tb 0.500 0.249 0.874
Tb 0.000 0.499 0.750
Tb 0.500 0.251 0.374
Tb 0.000 0.999 0.750
Tb 0.000 0.000 0.000
Tb 0.500 0.749 0.626
Tb 0.000 0.501 0.250
Tb 0.500 0.751 0.126
Tb 0.000 0.500 0.500
Tb 0.000 0.001 0.250
Nd 0.500 0.250 0.125
Nd 0.500 0.750 0.875
Nd 0.500 0.250 0.625
Nd 0.500 0.750 0.375
Y 0.000 0.500 0.000
Y 0.000 0.000 0.500
CELL_PARAMETERS angstrom
-2.771 -3.811 1.891
5.576 -4.463 -0.823
4.561 3.255 13.243

***

Number 1: V 34.3 Å³ per atom, Fermi-level density of states 18.2 states/eV/f.u.. Number 2: V 33.2 Å³ per atom, Fermi-level density of states 17.7 states/eV/f.u.. Number 3: V 33.2 Å³ per atom, Fermi-level density of states 18.1 states/eV/f.u.. Number 4: V 32.8 Å³ per atom, Fermi-level density of states 10.9 states/eV/f.u..